(A)
An optimized crystal structure of Cr3RhCl, computed with PBE-GGA.

Properties
Magnetization = 2.41 μB/atom

Unit cell a=4.846 b=4.846 c=4.846 alpha=90.00 beta=90.00 gamma=90.00
Space group Pm-3m (No. 221)
Asymmetric unit:
Cr1 0.000 0.000 0.500
Rh1 0.000 0.000 0.000
Cl1 0.500 0.500 0.500

***

(B)
An optimized crystal structure of Cr3RhCl, computed with PBE-GGA.

Properties
Magnetization = 0.25 μB/atom

Unit cell a=4.099 b=4.099 c=4.099 alpha=90.00 beta=90.00 gamma=90.00
Space group Pm-3m (No. 221)
Asymmetric unit:
Cr1 0.000 0.000 0.500
Rh1 0.500 0.500 0.500
Cl1 0.000 0.000 0.000

***

What are the relative energies? In meV per atom: (A) 143; (B) 0.

***

(A)
An optimized crystal structure of CrRhSCl2, computed with PBE-GGA.

Properties
Magnetization = 1.04 μB/atom

Unit cell a=4.633 b=4.633 c=4.863 alpha=90.00 beta=90.00 gamma=90.00
Space group P4/mmm (No. 123)
Asymmetric unit:
Cr1 0.000 0.000 0.000
Rh1 0.500 0.500 0.500
S1 0.000 0.000 0.500
Cl1 0.000 0.500 0.000

***

(B)
An optimized crystal structure of CrRhSCl2, computed with PBE-GGA.

Properties
Magnetization = 0.86 μB/atom

Unit cell a=4.831 b=4.831 c=4.598 alpha=90.00 beta=90.00 gamma=90.00
Space group P4/mmm (No. 123)
Asymmetric unit:
Cr1 0.000 0.000 0.000
Rh1 0.500 0.500 0.500
S1 0.500 0.500 0.000
Cl1 0.000 0.500 0.500

***

What are the relative energies? In meV per atom: (A) 69; (B) 0.

***

(A)
An optimized crystal structure of CrRuCl2, computed with PBE-GGA.

Properties
Magnetization = 0.64 μB/atom

Unit cell a=3.586 b=3.586 c=11.105 alpha=90.00 beta=90.00 gamma=90.00
Space group I-4m2 (No. 119)
Asymmetric unit:
Cr1 0.000 0.000 0.000
Ru1 0.000 0.500 0.750
Cl1 0.000 0.000 0.500
Cl2 0.000 0.500 0.250

***

(B)
An optimized crystal structure of CrRuCl2, computed with PBE-GGA.

Properties
Magnetization = 0.00 μB/atom

Unit cell a=6.052 b=6.052 c=6.052 alpha=90.00 beta=90.00 gamma=90.00
Space group Fm-3m (No. 225)
Asymmetric unit:
Cr1 0.000 0.000 0.000
Ru1 0.000 0.000 0.500
Cl1 0.250 0.250 0.250

***

(C)
An optimized crystal structure of CrRuCl2, computed with PBE-GGA.

Properties
Magnetization = 0.35 μB/atom

Unit cell a=3.0261 b=3.0261 c=24.1461 alpha=90.00 beta=90.00 gamma=120.00
Space group R-3m (No. 166, hexagonal axes)
Asymmetric unit:
Cr1 0.0000 0.0000 0.0000
Ru1 0.0000 0.0000 0.5000
Cl1 0.0000 0.0000 0.0893

***

What are the relative energies? In meV per atom: (A) 0; (B) 395; (C) 203.

***

(A)
An optimized crystal structure of CrRuCl3, computed with PBE-GGA.

Properties
Magnetization = 1.06 μB/atom

Unit cell a=4.800 b=4.800 c=4.800 alpha=90.00 beta=90.00 gamma=90.00
Space group Pm-3m (No. 221)
Asymmetric unit:
Cr1 0.000 0.000 0.000
Ru1 0.500 0.500 0.500
Cl1 0.000 0.500 0.500

***

(B)
An optimized crystal structure of CrRuCl3, computed with PBE-GGA.

Properties
Magnetization = 0.06 μB/atom

Unit cell a=4.617 b=4.617 c=4.617 alpha=90.00 beta=90.00 gamma=90.00
Space group Pm-3m (No. 221)
Asymmetric unit:
Cr1 0.000 0.000 0.000
Ru1 0.500 0.500 0.500
Cl1 0.000 0.000 0.500

***

What are the relative energies? In meV per atom: (A) 0; (B) 550.

***

(A)
An optimized crystal structure of CrRuSCl2, computed with PBE-GGA.

Properties
Magnetization = 0.11 μB/atom

Unit cell a=5.518 b=5.518 c=4.294 alpha=90.00 beta=90.00 gamma=90.00
Space group P4/mmm (No. 123)
Asymmetric unit:
Cr1 0.000 0.000 0.000
Ru1 0.500 0.500 0.000
S1 0.000 0.000 0.500
Cl1 0.000 0.500 0.500

***

(B)
An optimized crystal structure of CrRuSCl2, computed with PBE-GGA.

Properties
Magnetization = 0.99 μB/atom

Unit cell a=4.985 b=4.985 c=4.393 alpha=90.00 beta=90.00 gamma=90.00
Space group P4/mmm (No. 123)
Asymmetric unit:
Cr1 0.000 0.000 0.000
Ru1 0.500 0.500 0.500
S1 0.500 0.500 0.000
Cl1 0.000 0.500 0.500

***

What are the relative energies? In meV per atom: (A) 827; (B) 0.

***

(A)
An optimized crystal structure of Cr2SCl, computed with PBE-GGA.

Properties
Magnetization = 2.24 μB/atom

Unit cell a=6.488 b=6.488 c=6.488 alpha=90.00 beta=90.00 gamma=90.00
Space group Fm-3m (No. 225)
Asymmetric unit:
Cr1 0.250 0.250 0.250
S1 0.000 0.000 0.000
Cl1 0.000 0.000 0.500

***

(B)
An optimized crystal structure of Cr2SCl, computed with PBE-GGA.

Properties
Magnetization = 2.25 μB/atom

Unit cell a=5.817 b=5.817 c=11.101 alpha=90.00 beta=90.00 gamma=90.00
Space group I-42d (No. 122)
Asymmetric unit:
Cr1 0.214 0.250 0.125
S1 0.000 0.000 0.000
Cl1 0.000 0.000 0.500

***

What are the relative energies? In meV per atom: (A) 295; (B) 0.

***

(A)
An optimized crystal structure of CrS3Cl, computed with PBE-GGA.

Properties
Magnetization = 0.71 μB/atom

Unit cell a=4.628 b=4.628 c=4.628 alpha=90.00 beta=90.00 gamma=90.00
Space group Pm-3m (No. 221)
Asymmetric unit:
Cr1 0.000 0.000 0.000
S1 0.000 0.500 0.500
Cl1 0.500 0.500 0.500

***

(B)
An optimized crystal structure of CrS3Cl, computed with PBE-GGA.

Properties
Magnetization = 0.00 μB/atom

Unit cell a=4.460 b=4.460 c=4.460 alpha=90.00 beta=90.00 gamma=90.00
Space group Pm-3m (No. 221)
Asymmetric unit:
Cr1 0.000 0.000 0.000
S1 0.000 0.000 0.500
Cl1 0.500 0.500 0.500

***

What are the relative energies? In meV per atom: (A) 857; (B) 0.

***

(A)
An optimized crystal structure of CrSbS2Cl, computed with PBE-GGA.

Properties
Magnetization = 0.71 μB/atom

Unit cell a=4.766 b=4.766 c=4.532 alpha=90.00 beta=90.00 gamma=90.00
Space group P4/mmm (No. 123)
Asymmetric unit:
Cr1 0.000 0.000 0.000
Sb1 0.500 0.500 0.500
S1 0.000 0.500 0.000
Cl1 0.000 0.000 0.500

***

(B)
An optimized crystal structure of CrSbS2Cl, computed with PBE-GGA.

Properties
Magnetization = 0.91 μB/atom

Unit cell a=5.081 b=5.081 c=5.132 alpha=90.00 beta=90.00 gamma=90.00
Space group P4/mmm (No. 123)
Asymmetric unit:
Cr1 0.000 0.000 0.000
Sb1 0.500 0.500 0.500
S1 0.000 0.500 0.500
Cl1 0.500 0.500 0.000

***

What are the relative energies? In meV per atom: (A) 0; (B) 466.